Compound: Na2Li2Sb2Pb
Source: Alexandria via LeMat-Bulk
Functional: PBE-GGA
Structure: optimized geometry

Cell: 4.980 4.980 9.015 Å, 73.97 73.97 60.00°
Sites, in units of the cell vectors:
Sb: 0.259 0.259 0.222
Li: 0.618 0.618 0.145
Na: 0.132 0.132 0.605
Sb: 0.741 0.741 0.778
Li: 0.382 0.382 0.855
Pb: 0.000 0.000 0.000
Na: 0.868 0.868 0.395

Calculated values
M_tot in μB/f.u.: 0.00
E_form (uncorrected) in eV/f.u.: -2.94

=====

Compound: TlZnAs2Se
Source: Alexandria via LeMat-Bulk
Functional: PBE-GGA
Structure: optimized geometry

Cell: 5.404 5.404 5.450 Å, 90.00 90.00 90.00°
Each line ends with the local moment (μB).
Sites, in units of the cell vectors:
Tl: 0.000 0.000 0.000  0.01
As: 0.000 0.500 0.000  0.34
As: 0.500 0.000 0.000  0.34
Se: 0.000 0.000 0.500  0.11
Zn: 0.500 0.500 0.500  0.04

Calculated values
M_tot in μB/f.u.: 1.73
Energy above the lowest structure with this stoichiometry in meV per atom: 655
E_form (uncorrected) in eV/f.u.: 5.33

=====

Compound: Tl2CrAgCl6
Source: Alexandria via LeMat-Bulk
Functional: PBE-GGA
Structure: optimized geometry

Cell: 7.155 7.161 10.122 Å, 90.00 90.00 90.00°
Each line ends with the local moment (μB).
Sites, in units of the cell vectors:
Cl: 0.500 0.249 0.734  -0.02
Ag: 0.000 0.749 0.500  -0.04
Cl: 0.266 0.483 0.500  -0.02
Ag: 0.500 0.251 0.000  -0.04
Cl: 0.734 0.016 0.500  -0.02
Cl: 0.000 0.751 0.766  -0.02
Tl: 0.500 0.751 0.750  0.00
Tl: 0.000 0.249 0.750  0.00
Cl: 0.766 0.984 0.000  -0.02
Cl: 0.266 0.016 0.500  -0.02
Cl: 0.766 0.517 0.000  -0.02
Cr: 0.500 0.249 0.500  2.87
Cr: 0.000 0.751 0.000  2.87
Cl: 0.234 0.984 0.000  -0.02
Tl: 0.500 0.751 0.250  0.00
Cl: 0.500 0.249 0.266  -0.02
Tl: 0.000 0.249 0.250  0.00
Cl: 0.234 0.517 0.000  -0.02
Cl: 0.000 0.751 0.234  -0.02
Cl: 0.734 0.483 0.500  -0.02

Calculated values
M_tot in μB/f.u.: 3.00
E_form (uncorrected) in eV/f.u.: -9.36